First-principles (PBE) data for a geometry-optimized PuPd3 structure, as listed in Alexandria via LeMat-Bulk.

Cell and atoms, written as POSCAR:
```
PuPd3
1.0
4.145 0.000 0.000
0.000 4.145 0.000
0.000 0.000 4.145
Pu Pd
1 3
direct
0.000 0.000 0.000 Pu
0.000 0.500 0.500 Pd
0.500 0.000 0.500 Pd
0.500 0.500 0.000 Pd
```

Output
SG: No. 221
Density of states at the Fermi level (states/eV/atom): 4.08
Calculated formation energy (meV per atom): -564

---

First-principles (PBE) data for a geometry-optimized TlIn3H structure, as listed in Alexandria via LeMat-Bulk.

Cell and atoms, written as POSCAR:
```
TlIn3H
1.0
4.892 0.000 0.000
0.000 4.892 0.000
0.000 0.000 4.892
Tl In H
1 3 1
direct
0.000 0.000 0.000 Tl
0.000 0.500 0.500 In
0.500 0.000 0.500 In
0.500 0.500 0.000 In
0.500 0.500 0.500 H
```

Output
SG: No. 221
Density of states at the Fermi level (states/eV/atom): 0.33
Uncorrected energy (eV for the cell shown): -12.9

---

First-principles (PBE) data for a geometry-optimized CaSi2As structure, as listed in Alexandria via LeMat-Bulk.

Cell and atoms, written as POSCAR:
```
CaSi2As
1.0
2.936 0.000 0.000
0.000 4.655 0.000
0.000 0.000 5.591
Ca Si As
1 2 1
direct
0.000 0.000 0.000 Ca
0.500 0.000 0.519 Si
0.500 0.500 0.720 Si
0.500 0.500 0.266 As
```

Output
SG: No. 25
Density of states at the Fermi level (states/eV/atom): 0.35
ΔE_f (raw) (eV/atom): -0.08

---

First-principles (PBE) data for a geometry-optimized K3Mg2ZrO6 structure, as listed in Alexandria via LeMat-Bulk.

Cell and atoms, written as POSCAR:
```
K3Mg2ZrO6
1.0
2.810 -4.871 0.000
2.810 4.871 0.000
-1.859 0.000 6.143
K Mg Zr O
3 2 1 6
direct
0.000 0.000 0.000 K
0.328 0.672 0.000 K
0.672 0.328 0.000 K
0.167 0.833 0.500 Mg
0.833 0.167 0.500 Mg
0.500 0.500 0.500 Zr
0.113 0.440 0.321 O
0.234 0.234 0.682 O
0.440 0.113 0.321 O
0.560 0.887 0.679 O
0.766 0.766 0.318 O
0.887 0.560 0.679 O
```

Output
SG: No. 12
Density of states at the Fermi level (states/eV/atom): 0.90
ΔE_f (raw) (eV/atom): -2.16

---

First-principles (PBE) data for a geometry-optimized Sm3MgIn structure, as listed in Alexandria via LeMat-Bulk.

Cell and atoms, written as POSCAR:
```
Sm3MgIn
1.0
8.452 0.000 0.000
-4.226 7.320 0.000
0.000 0.000 5.171
Sm Mg In
6 2 2
direct
0.196 0.393 0.250 Sm
0.196 0.804 0.250 Sm
0.393 0.196 0.750 Sm
0.607 0.804 0.250 Sm
0.804 0.196 0.750 Sm
0.804 0.607 0.750 Sm
0.000 0.000 0.000 Mg
0.000 0.000 0.500 Mg
0.333 0.667 0.750 In
0.667 0.333 0.250 In
```

Output
SG: No. 194
Relative energy among the computed polymorphs (kJ/mol of formula units): 123
Density of states at the Fermi level (states/eV/atom): 0.67
Calculated formation energy (meV per atom): 22

---

First-principles (PBE) data for a geometry-optimized MnRe3 structure, as listed in Alexandria via LeMat-Bulk.

Cell and atoms, written as POSCAR:
```
MnRe3
1.0
2.738 0.000 0.000
0.000 4.396 0.000
0.000 0.000 4.711
Mn Re
1 3
direct
0.000 0.000 0.000 Mn
0.000 0.500 0.335 Re
0.500 0.000 0.509 Re
0.500 0.500 0.846 Re
```

Output
SG: No. 25
Density of states at the Fermi level (states/eV/atom): 1.11
Calculated formation energy (meV per atom): 68

---

First-principles (PBE) data for a geometry-optimized TaAg3 structure, as listed in Alexandria via LeMat-Bulk.

Cell and atoms, written as POSCAR:
```
TaAg3
1.0
2.782 0.000 0.000
0.000 4.260 0.000
-0.075 0.000 6.018
Ta Ag
1 3
direct
0.000 0.000 0.000 Ta
0.000 0.000 0.500 Ag
0.497 0.500 0.754 Ag
0.503 0.500 0.246 Ag
```

Output
SG: No. 10
Density of states at the Fermi level (states/eV/atom): 0.54
Calculated formation energy (meV per atom): 326

---

First-principles (PBE) data for a geometry-optimized YReSi3 structure, as listed in Alexandria via LeMat-Bulk.

Cell and atoms, written as POSCAR:
```
YReSi3
1.0
4.924 0.000 0.000
0.000 4.924 0.000
0.000 0.000 4.924
Y Re Si
1 1 3
direct
0.000 0.000 0.000 Y
0.500 0.500 0.500 Re
0.000 0.000 0.500 Si
0.000 0.500 0.000 Si
0.500 0.000 0.000 Si
```

Output
SG: No. 221
Relative energy among the computed polymorphs (kJ/mol of formula units): 994
Density of states at the Fermi level (states/eV/atom): 1.28
ΔE_f (raw) (eV/atom): 2.28